1.
## YZnNO (PBE)

Data for YZnNO after structural relaxation.

a = 3.3829 Å, b = 3.3829 Å, c = 4.4248 Å
α = 90.00°, β = 90.00°, γ = 90.00°
Fractional positions:
Y1 0.0000 0.0000 0.0000
Zn1 0.5000 0.5000 0.5000
N1 0.5000 0.5000 0.0000
O1 0.0000 0.0000 0.5000

***

2.
## YZnNO (PBE)

Data for YZnNO after structural relaxation.

a = 3.6805 Å, b = 3.6805 Å, c = 7.7709 Å
α = 90.00°, β = 90.00°, γ = 90.00°
Fractional positions:
Y1 0.2500 0.2500 0.1533
Y2 0.7500 0.7500 0.8467
Zn1 0.2500 0.7500 0.5000
Zn2 0.7500 0.2500 0.5000
N1 0.2500 0.2500 0.6438
N2 0.7500 0.7500 0.3562
O1 0.2500 0.7500 0.0000
O2 0.7500 0.2500 0.0000

***

3.
## YZnNO (PBE)

Data for YZnNO after structural relaxation.

a = 3.7011 Å, b = 6.0710 Å, c = 5.1068 Å
α = 90.00°, β = 90.00°, γ = 90.00°
Fractional positions:
Y1 0.0000 0.1955 0.0000
Y2 0.0000 0.8045 0.5000
Zn1 0.5000 0.3066 0.5079
Zn2 0.5000 0.6934 0.0079
N1 0.0000 0.1755 0.4607
N2 0.0000 0.8245 0.9607
O1 0.5000 0.3653 0.9189
O2 0.5000 0.6347 0.4189

***

4.
## YZnNO (PBE)

Data for YZnNO after structural relaxation.

a = 3.5962 Å, b = 5.8868 Å, c = 5.6747 Å
α = 90.00°, β = 90.00°, γ = 90.00°
Fractional positions:
Y1 0.0000 0.1965 0.0000
Y2 0.0000 0.8035 0.5000
Zn1 0.5000 0.3444 0.5012
Zn2 0.5000 0.6556 0.0012
N1 0.5000 0.3530 0.8456
N2 0.5000 0.6470 0.3456
O1 0.0000 0.1633 0.3921
O2 0.0000 0.8367 0.8921

***

5.
## YZnNO (PBE)

Data for YZnNO after structural relaxation.

a = 5.2089 Å, b = 8.2204 Å, c = 4.9660 Å
α = 90.00°, β = 90.00°, γ = 90.00°
Fractional positions:
Y1 0.0170 0.1454 0.0000
Y2 0.4830 0.1454 0.5000
Y3 0.5170 0.8546 0.0000
Y4 0.9830 0.8546 0.5000
Zn1 0.0414 0.6194 0.0206
Zn2 0.4586 0.6194 0.5206
Zn3 0.5414 0.3806 0.0206
Zn4 0.9586 0.3806 0.5206
N1 0.0258 0.1395 0.4862
N2 0.4742 0.1395 0.9862
N3 0.5258 0.8605 0.4862
N4 0.9742 0.8605 0.9862
O1 0.0774 0.5965 0.4327
O2 0.4226 0.5965 0.9327
O3 0.5774 0.4035 0.4327
O4 0.9226 0.4035 0.9327

***

6.
## YZnNO (PBE)

Data for YZnNO after structural relaxation.

a = 4.7833 Å, b = 4.7833 Å, c = 4.4259 Å
α = 90.00°, β = 90.00°, γ = 90.00°
Fractional positions:
Y1 0.2500 0.7500 0.0000
Y2 0.7500 0.2500 0.0000
Zn1 0.2500 0.2500 0.4983
Zn2 0.7500 0.7500 0.5017
N1 0.2500 0.2500 0.0013
N2 0.7500 0.7500 0.9987
O1 0.2500 0.7500 0.5000
O2 0.7500 0.2500 0.5000

***

7.
## YZnNO (PBE)

Data for YZnNO after structural relaxation.

a = 5.8935 Å, b = 7.4292 Å, c = 5.6857 Å
α = 90.00°, β = 90.00°, γ = 90.00°
Fractional positions:
Y1 0.0294 0.1519 0.0000
Y2 0.4706 0.1519 0.5000
Y3 0.5294 0.8481 0.0000
Y4 0.9706 0.8481 0.5000
Zn1 0.1142 0.5609 0.0294
Zn2 0.3858 0.5609 0.5294
Zn3 0.6142 0.4391 0.0294
Zn4 0.8858 0.4391 0.5294
N1 0.0969 0.6086 0.6933
N2 0.4031 0.6086 0.1933
N3 0.5969 0.3914 0.6933
N4 0.9031 0.3914 0.1933
O1 0.1419 0.0814 0.6415
O2 0.3581 0.0814 0.1415
O3 0.6419 0.9186 0.6415
O4 0.8581 0.9186 0.1415

***

8.
## OsN2 (PBE)

Data for OsN2 after structural relaxation.

a = 2.9612 Å, b = 2.9612 Å, c = 3.8326 Å
α = 90.00°, β = 90.00°, γ = 120.00°
Fractional positions:
Os1 0.0000 0.0000 0.0000
N1 0.3333 0.6667 0.3299
N2 0.3333 0.6667 0.6701

***

For each record above, in turn, the calculated size of the total moment values are 0.000 0.001 0.001 0.001 0.004 0.000 0.000 0.002 μB per cell.
For each record above, in turn, the calculated offset from the most stable computed form values are 8.4 11.7 0.0 6.9 2.5 8.5 5.2 61.7 kJ/mol of atoms.